## A
Compound: Tl2PtAu
Source: the Alexandria database
Functional: GGA-PBE
Structure: relaxed

Cell: 6.5315 6.5315 6.5315 Å, 39.59 39.59 39.59°
Sites, in units of the cell vectors:
Au 0.4807 0.4807 0.4807
Pt 0.7626 0.7626 0.7626
Tl 0.0253 0.0253 0.0253
Tl 0.2314 0.2314 0.2314

Summary:
**Space group**: R3m



## B
Compound: Tl2PtAu
Source: the Alexandria database
Functional: GGA-PBE
Structure: relaxed

Cell: 6.5773 6.5773 7.6276 Å, 64.46 64.46 90.00°
Sites, in units of the cell vectors:
Tl 0.6053 0.1250 0.2500
Tl 0.1447 0.6250 0.2500
Tl 0.3750 0.3947 0.7500
Tl 0.8750 0.8553 0.7500
Au 0.0000 0.0000 0.0000
Au 0.7500 0.2500 0.5000
Pt 0.5000 0.5000 0.0000
Pt 0.2500 0.7500 0.5000

Summary:
**Space group**: I-42d



Structures ranked by computed energy, the most stable listed first: A, B.



## A
Compound: TlPt3Au
Source: the Alexandria database
Functional: GGA-PBE
Structure: relaxed

Cell: 5.0238 5.0238 5.0238 Å, 90.00 90.00 90.00°
Sites, in units of the cell vectors:
Tl 0.0000 0.0000 0.0000
Au 0.5000 0.5000 0.5000
Pt 0.0000 0.5000 0.0000
Pt 0.0000 0.0000 0.5000
Pt 0.5000 0.0000 0.0000

Summary:
**Space group**: Pm-3m



## B
Compound: TlPt3Au
Source: the Alexandria database
Functional: GGA-PBE
Structure: relaxed

Cell: 5.0136 5.0136 5.0136 Å, 90.00 90.00 90.00°
Sites, in units of the cell vectors:
Tl 0.5000 0.5000 0.5000
Au 0.0000 0.0000 0.0000
Pt 0.0000 0.5000 0.0000
Pt 0.0000 0.0000 0.5000
Pt 0.5000 0.0000 0.0000

Summary:
**Space group**: Pm-3m



Structures ranked by computed energy, the most stable listed first: B, A.



## A
Compound: Tl2Pt2Au
Source: the Alexandria database
Functional: GGA-PBE
Structure: relaxed

Cell: 4.2182 4.2182 6.8804 Å, 72.15 72.15 90.00°
Sites, in units of the cell vectors:
Tl 0.7500 0.2500 0.5000
Tl 0.2500 0.7500 0.5000
Au 0.0000 0.0000 0.0000
Pt 0.3975 0.3975 0.2050
Pt 0.6025 0.6025 0.7950

Summary:
**Space group**: I4/mmm



## B
Compound: Tl2Pt2Au
Source: the Alexandria database
Functional: GGA-PBE
Structure: relaxed

Cell: 7.2607 7.2607 3.8735 Å, 90.00 90.00 90.00°
Sites, in units of the cell vectors:
Tl 0.1653 0.6653 0.5000
Tl 0.6653 0.8347 0.5000
Tl 0.8347 0.3347 0.5000
Tl 0.3347 0.1653 0.5000
Au 0.0000 0.0000 0.0000
Au 0.5000 0.5000 0.0000
Pt 0.3609 0.8609 0.0000
Pt 0.8609 0.6391 0.0000
Pt 0.6391 0.1391 0.0000
Pt 0.1391 0.3609 0.0000

Summary:
**Space group**: P4/mbm



## C
Compound: Tl2Pt2Au
Source: the Alexandria database
Functional: GGA-PBE
Structure: relaxed

Cell: 3.7553 3.7553 8.4022 Å, 77.09 77.09 90.00°
Sites, in units of the cell vectors:
Tl 0.3935 0.3935 0.2131
Tl 0.6065 0.6065 0.7869
Au 0.0000 0.0000 0.0000
Pt 0.7500 0.2500 0.5000
Pt 0.2500 0.7500 0.5000

Summary:
**Space group**: I4/mmm



Structures ranked by computed energy, the most stable listed first: B, C, A.



## A
Compound: Tl4PtAu
Source: the Alexandria database
Functional: GGA-PBE
Structure: relaxed

Cell: 6.1628 6.1628 6.1628 Å, 60.00 60.00 60.00°
Sites, in units of the cell vectors:
Tl 0.8759 0.3747 0.3747
Tl 0.3747 0.3747 0.8759
Tl 0.3747 0.8759 0.3747
Tl 0.3747 0.3747 0.3747
Pt 0.0000 0.0000 0.0000
Au 0.7500 0.7500 0.7500

Summary:
**Space group**: F-43m



## B
Compound: Tl4PtAu
Source: the Alexandria database
Functional: GGA-PBE
Structure: relaxed

Cell: 5.7286 7.7451 7.7451 Å, 111.51 97.82 97.82°
Sites, in units of the cell vectors:
Tl 0.8925 0.6203 0.7786
Tl 0.0583 0.9245 0.2954
Tl 0.6075 0.2214 0.3797
Tl 0.4417 0.7046 0.0755
Tl 0.5583 0.2954 0.9245
Tl 0.3925 0.7786 0.6203
Tl 0.9417 0.0755 0.7046
Tl 0.1075 0.3797 0.2214
Pt 0.2500 0.0081 0.9919
Pt 0.7500 0.9919 0.0081
Au 0.7500 0.6243 0.3757
Au 0.2500 0.3757 0.6243

Summary:
**Space group**: C2/c



Structures ranked by computed energy, the most stable listed first: B, A.